(P)
Nd2Dy3Er3, relaxed, DFT PBE; M_tot = 0.00 μB/cell; Fermi-level density of states = 1.461 states/eV/atom; mass density = 8.29 g cm⁻³
1.0
-2.5237 2.5243 10.0415
2.5237 -2.5243 10.0415
2.5237 2.5243 -10.0415
Nd Dy Er
2 3 3
direct
0.2501 0.2501 0.0000
0.7499 0.7499 0.0000
0.0000 0.0000 0.0000
0.3774 0.8774 0.5000
0.6226 0.1226 0.5000
0.1228 0.6228 0.5000
0.5000 0.5000 0.0000
0.8772 0.3772 0.5000

---

(Q)
Nd2Dy3Er3, relaxed, DFT PBE; M_tot = 0.07 μB/cell; Fermi-level density of states = 2.355 states/eV/atom; mass density = 8.16 g cm⁻³
1.0
4.5113 2.6046 3.6874
-4.5113 2.6046 3.6874
0.0000 -5.2092 3.6874
Nd Dy Er
2 3 3
direct
0.2492 0.2492 0.2492
0.7508 0.7508 0.7508
0.2483 0.7517 0.5000
0.5000 0.2483 0.7517
0.7517 0.5000 0.2483
0.0000 0.2484 0.7516
0.2484 0.7516 0.0000
0.7516 0.0000 0.2484

---

Relative calculated energies, zero for the most stable structure, unit kJ/mol of atoms: (P) 0.0; (Q) 20.3.

---

(P)
NdDy7Er4, relaxed, DFT PBE; M_tot = 0.00 μB/cell; Fermi-level density of states = 1.670 states/eV/atom; mass density = 8.30 g cm⁻³
1.0
6.0048 -2.9263 0.0000
6.0048 2.9263 0.0000
-5.8935 0.0000 11.1078
Nd Dy Er
1 7 4
direct
0.0000 0.0000 0.0000
0.0585 0.0585 0.3301
0.2108 0.2108 0.9220
0.3659 0.3659 0.4961
0.5000 0.5000 0.0000
0.6341 0.6341 0.5039
0.7892 0.7892 0.0780
0.9415 0.9415 0.6699
0.2515 0.2515 0.6844
0.3677 0.3677 0.2256
0.6323 0.6323 0.7744
0.7485 0.7485 0.3156

---

(Q)
NdDy7Er4, relaxed, DFT PBE; M_tot = 0.00 μB/cell; Fermi-level density of states = 1.295 states/eV/atom; mass density = 8.59 g cm⁻³
1.0
6.1795 0.0000 0.0000
-0.0024 7.1395 0.0000
-2.0579 -0.0052 8.5475
Nd Dy Er
1 7 4
direct
0.0000 0.0000 0.0000
0.0000 0.5000 0.0000
0.2226 0.0002 0.6651
0.2792 0.7484 0.3359
0.4998 0.2515 0.0003
0.5002 0.7485 0.9997
0.7208 0.2516 0.6641
0.7774 0.9998 0.3349
0.2206 0.5001 0.6652
0.2786 0.2517 0.3354
0.7214 0.7483 0.6646
0.7794 0.4999 0.3348

---

Relative calculated energies, zero for the most stable structure, unit kJ/mol of atoms: (P) 27.1; (Q) 0.0.